A relaxed KBaY crystal, computed with PBE.

The structure in extended XYZ format:
```
3
Lattice="-1.9085 3.1336 6.1751 1.9085 -3.1336 6.1751 1.9085 3.1336 -6.1751" Properties=species:S:1:pos:R:3 pbc="T T T"
K 0.0000 0.0000 0.0000
Ba 0.0000 0.0000 4.0114
Y 0.0000 0.0000 8.2421
```

## Properties
The energy above the most stable polymorph in this dataset comes out at 132 meV/atom. Its formation energy is 0.457 eV/atom.

A relaxed BaTcRh crystal, computed with PBE.

The structure in extended XYZ format:
```
3
Lattice="4.1489 0.0000 0.0000 -2.0745 3.5931 0.0000 0.0000 0.0000 5.3320" Properties=species:S:1:pos:R:3 pbc="T T T"
Ba 0.0000 0.0000 0.0000
Tc 0.0000 2.3954 2.5110
Rh 2.0745 1.1977 2.8525
```

## Properties
The energy above the most stable polymorph in this dataset comes out at 304 meV/atom. Its formation energy is 0.363 eV/atom.

A relaxed MgRuN2F crystal, computed with PBE.

The structure in extended XYZ format:
```
5
Lattice="3.8255 0.0000 0.0000 0.0000 3.8255 0.0000 0.0000 0.0000 4.2972" Properties=species:S:1:pos:R:3 pbc="T T T"
Mg 0.0000 0.0000 0.0000
Ru 1.9128 1.9128 2.1486
N 0.0000 1.9128 2.1486
N 1.9128 0.0000 2.1486
F 1.9128 1.9128 0.0000
```

## Properties
As for the energy relative to the elements, uncorrected: -33 meV/atom. The energy above the most stable polymorph in this dataset comes out at 0 meV/atom.

A relaxed CaErAgGe crystal, computed with PBE.

The structure in extended XYZ format:
```
4
Lattice="0.0000 3.6031 3.6031 3.6031 0.0000 3.6031 3.6031 3.6031 0.0000" Properties=species:S:1:pos:R:3 pbc="T T T"
Ca 0.0000 0.0000 0.0000
Er 3.6031 3.6031 3.6031
Ag 1.8015 1.8015 1.8015
Ge 5.4046 5.4046 5.4046
```

## Properties
Its formation energy is -0.520 eV/atom.

A relaxed Ac5CoAg2 crystal, computed with PBE.

The structure in extended XYZ format:
```
16
Lattice="9.3423 -3.7172 0.0000 9.3423 3.7172 0.0000 -1.0583 0.0000 8.0254" Properties=species:S:1:pos:R:3 pbc="T T T"
Ac 8.5485 3.1411 6.0191
Ac 3.7550 0.5176 2.4185
Ac 7.4266 0.8767 0.5046
Ac 3.2258 -0.5176 6.4313
Ac 10.7288 0.8767 3.5081
Ac 6.8975 -0.8767 4.5173
Ac 14.4004 0.5176 1.5942
Ac 10.1996 -0.8767 7.5208
Ac 13.8712 -0.5176 5.6069
Ac 9.0777 -3.1411 2.0064
Co 4.6711 1.8586 0.0000
Co 4.1420 -1.8586 4.0127
Ag 6.9229 2.2155 3.4416
Ag 11.2325 2.2155 0.5711
Ag 6.3937 -2.2155 7.4543
Ag 10.7034 -2.2155 4.5838
```

## Properties
Its formation energy is -0.114 eV/atom.

A relaxed PmPr3Er crystal, computed with PBE.

The structure in extended XYZ format:
```
10
Lattice="4.0857 -7.1140 0.0000 4.0857 7.1140 0.0000 0.0000 0.0000 6.2443" Properties=species:S:1:pos:R:3 pbc="T T T"
Pm 4.0857 4.2665 4.6833
Pm 4.0857 -4.2665 1.5611
Pr 0.0000 0.0000 0.0000
Pr 0.0000 0.0000 3.1222
Pr 2.4543 1.4594 4.6833
Pr 2.4543 -1.4594 1.5611
Pr 5.7172 1.4594 4.6833
Pr 5.7172 -1.4594 1.5611
Er 4.0857 2.4231 1.5611
Er 4.0857 -2.4231 4.6833
```

## Properties
The energy above the most stable polymorph in this dataset comes out at 147 meV/atom. Its formation energy is 0.327 eV/atom.

A relaxed SmTiO2 crystal, computed with PBE.

The structure in extended XYZ format:
```
4
Lattice="1.8516 1.0690 5.8270 -1.8516 1.0690 5.8270 0.0000 -2.1381 5.8270" Properties=species:S:1:pos:R:3 pbc="T T T"
Sm 0.0000 0.0000 0.0000
Ti 0.0000 0.0000 8.7405
O 0.0000 0.0000 6.8395
O 0.0000 0.0000 10.6415
```

## Properties
As for the energy relative to the elements, uncorrected: -2585 meV/atom.

A relaxed La2Sm5Tl crystal, computed with PBE.

The structure in extended XYZ format:
```
8
Lattice="-1.8118 3.4558 10.7625 1.8118 -3.4558 10.7625 1.8118 3.4558 -10.7625" Properties=species:S:1:pos:R:3 pbc="T T T"
La 0.0000 0.0000 5.1634
La 0.0000 0.0000 16.3617
Sm 0.0000 0.0000 0.0000
Sm 1.8118 1.7621 -2.4097
Sm 1.8118 1.7621 2.4097
Sm 0.0000 1.6936 8.3528
Sm 0.0000 1.6936 13.1723
Tl 0.0000 3.4558 0.0000
```

## Properties
The energy above the most stable polymorph in this dataset comes out at 58 meV/atom. Its formation energy is 0.005 eV/atom.

A relaxed NaTb5Hg8 crystal, computed with PBE.

The structure in extended XYZ format:
```
14
Lattice="-4.5275 4.5275 4.5133 4.5275 -4.5275 4.5133 4.5275 4.5275 -4.5133" Properties=species:S:1:pos:R:3 pbc="T T T"
Na 0.0000 0.0000 0.0000
Tb 3.3999 2.3854 -0.9928
Tb 4.5275 0.0000 2.2566
Tb 2.1421 -1.1276 5.5061
Tb 1.1276 2.1421 3.5205
Tb 2.3854 5.6551 0.9928
Hg 6.0417 0.6909 -0.5188
Hg 1.4956 -0.8012 2.4922
Hg 3.0319 5.3287 -2.0210
Hg 0.6909 3.0134 0.5188
Hg 3.7263 3.0319 2.0210
Hg 3.8366 1.5142 5.0321
Hg -1.5142 3.8366 3.9944
Hg 0.8012 1.4956 6.5343
```

## Properties
Its formation energy is -0.370 eV/atom.

A relaxed SrTe2Rh crystal, computed with PBE.

The structure in extended XYZ format:
```
4
Lattice="0.0000 3.7176 3.7176 3.7176 0.0000 3.7176 3.7176 3.7176 0.0000" Properties=species:S:1:pos:R:3 pbc="T T T"
Sr 0.0000 0.0000 0.0000
Te 1.8588 1.8588 1.8588
Te 5.5763 5.5763 5.5763
Rh 3.7176 3.7176 3.7176
```

## Properties
As for the energy relative to the elements, uncorrected: -333 meV/atom. The energy above the most stable polymorph in this dataset comes out at 451 meV/atom.

A relaxed Dy2TmZr crystal, computed with PBE.

The structure in extended XYZ format:
```
4
Lattice="1.7242 0.9954 11.1170 -1.7242 0.9954 11.1170 0.0000 -1.9909 11.1170" Properties=species:S:1:pos:R:3 pbc="T T T"
Dy 0.0000 0.0000 0.0000
Dy 0.0000 0.0000 5.8222
Tm 0.0000 0.0000 14.0345
Zr 0.0000 0.0000 19.5870
```

## Properties
The energy above the most stable polymorph in this dataset comes out at 0 meV/atom. Its formation energy is 0.074 eV/atom.

A relaxed SbCl2 crystal, computed with PBE.

The structure in extended XYZ format:
```
6
Lattice="4.9152 0.0000 0.0000 1.8555 7.0612 0.0000 1.8171 2.6717 6.7222" Properties=species:S:1:pos:R:3 pbc="T T T"
Sb 1.0615 1.2575 1.8932
Sb 7.5264 8.4754 4.8290
Cl 2.3048 3.2599 4.9109
Cl 4.2176 6.7149 5.1244
Cl 4.3702 3.0180 1.5979
Cl 6.2831 6.4730 1.8113
```

## Properties
As for the energy relative to the elements, uncorrected: -704 meV/atom. The energy above the most stable polymorph in this dataset comes out at 0 meV/atom.

Number 1: total magnetization 0.1 Bohr magnetons per cell, total DFT energy (no corrections) -8.1 eV per formula unit, D(E_F) 1.553 states/eV per atom. Number 2: total magnetization 0.0 Bohr magnetons per cell, total DFT energy (no corrections) -18.6 eV per formula unit, D(E_F) 0.749 states/eV per atom. Number 3: total magnetization 0.0 Bohr magnetons per cell, total DFT energy (no corrections) -29.6 eV per formula unit, D(E_F) 0.680 states/eV per atom. Number 4: total magnetization 0.0 Bohr magnetons per cell, total DFT energy (no corrections) -16.1 eV per formula unit, D(E_F) 0.441 states/eV per atom. Number 5: total magnetization 0.0 Bohr magnetons per cell, total DFT energy (no corrections) -34.3 eV per formula unit, D(E_F) 0.991 states/eV per atom. Number 6: total magnetization 0.0 Bohr magnetons per cell, total DFT energy (no corrections) -22.0 eV per formula unit, D(E_F) 0.795 states/eV per atom. Number 7: total magnetization 0.9 Bohr magnetons per cell, total DFT energy (no corrections) -32.9 eV per formula unit, D(E_F) 0.398 states/eV per atom. Number 8: total magnetization 0.0 Bohr magnetons per cell, total DFT energy (no corrections) -35.8 eV per formula unit, D(E_F) 1.446 states/eV per atom. Number 9: total magnetization 0.0 Bohr magnetons per cell, total DFT energy (no corrections) -32.1 eV per formula unit, D(E_F) 0.745 states/eV per atom. Number 10: total magnetization 1.2 Bohr magnetons per cell, total DFT energy (no corrections) -16.6 eV per formula unit, D(E_F) 1.048 states/eV per atom. Number 11: total magnetization 0.0 Bohr magnetons per cell, total DFT energy (no corrections) -21.9 eV per formula unit, D(E_F) 1.621 states/eV per atom. Number 12: total magnetization 0.0 Bohr magnetons per cell, total DFT energy (no corrections) -9.9 eV per formula unit, D(E_F) 0.000 states/eV per atom.